Entry from Alexandria via LeMat-Bulk: an optimized crystal structure of AcZn2Rh3 (PBE).

```
AcZn2Rh3
1.0
5.354 0.000 0.000
0.000 6.536 0.790
0.000 0.160 6.581
Zn Rh Ac
4 6 2
direct
0.000 0.779 0.779
0.500 0.779 0.779
0.500 0.221 0.221
0.000 0.221 0.221
0.250 0.058 0.537
0.750 0.942 0.463
0.250 0.055 0.945
0.750 0.537 0.058
0.250 0.463 0.942
0.750 0.945 0.055
0.750 0.301 0.699
0.250 0.699 0.301
```

Output
The crystal system is orthorhombic. For the energy, the calculation gives -62.24 eV per cell. Its formation energy is -401.5 meV/atom.


Entry from Alexandria via LeMat-Bulk: an optimized crystal structure of Ac3Zn2Rh4 (PBE).

```
Ac3Zn2Rh4
1.0
-3.896 -1.262 1.271
4.319 -1.893 4.127
-2.304 8.395 1.271
Rh Ac Zn
4 3 2
direct
0.916 0.832 0.579
0.707 0.414 0.071
0.084 0.168 0.421
0.293 0.586 0.929
0.630 0.261 0.707
0.000 0.000 0.000
0.370 0.739 0.293
0.324 0.647 0.650
0.676 0.353 0.350
```

Output
The crystal system is monoclinic. For the energy, the calculation gives -49.32 eV per cell. Its formation energy is -560.6 meV/atom.


Entry from Alexandria via LeMat-Bulk: an optimized crystal structure of Ac3Zn3Rh (PBE).

```
Ac3Zn3Rh
1.0
-2.726 2.871 -1.324
-4.851 -2.821 -2.712
-9.594 -0.287 12.556
Ac Rh Zn
6 2 6
direct
0.264 0.231 0.242
0.520 0.350 0.611
0.480 0.650 0.389
0.380 0.317 0.923
0.620 0.683 0.077
0.736 0.769 0.758
0.785 0.059 0.372
0.215 0.941 0.628
0.979 0.811 0.231
0.021 0.189 0.769
0.184 0.168 0.465
0.816 0.832 0.535
0.096 0.886 0.921
0.904 0.114 0.079
```

Output
The crystal system is monoclinic. For the energy, the calculation gives -52.36 eV per cell. Its formation energy is -382.8 meV/atom.


Entry from Alexandria via LeMat-Bulk: an optimized crystal structure of Ac3Zn5Rh6 (PBE).

```
Ac3Zn5Rh6
1.0
-2.649 -3.748 0.186
0.796 -3.739 -7.282
5.127 -6.415 0.447
Zn Rh Ac
5 6 3
direct
0.332 0.020 0.316
0.668 0.684 0.980
0.668 0.980 0.684
0.000 0.500 0.500
0.332 0.316 0.020
0.500 0.699 0.301
0.132 0.595 0.140
0.868 0.860 0.405
0.132 0.140 0.595
0.500 0.301 0.699
0.868 0.405 0.860
0.000 0.000 0.000
0.685 0.315 0.315
0.315 0.685 0.685
```

Output
The crystal system is orthorhombic. For the energy, the calculation gives -69.84 eV per cell. Its formation energy is -502.7 meV/atom.


Entry from Alexandria via LeMat-Bulk: an optimized crystal structure of Ac5ZnRh2 (PBE).

```
Ac5ZnRh2
1.0
-1.801 -1.304 -8.078
-7.795 -2.241 2.100
2.639 8.686 2.354
Zn Rh Ac
2 4 10
direct
0.750 0.750 0.500
0.250 0.250 0.500
0.364 0.864 0.000
0.864 0.636 0.000
0.136 0.364 0.000
0.636 0.136 0.000
0.973 0.472 0.270
0.472 0.298 0.270
0.702 0.202 0.730
0.000 0.000 0.000
0.798 0.972 0.270
0.298 0.798 0.270
0.202 0.028 0.730
0.500 0.500 0.000
0.528 0.702 0.730
0.027 0.528 0.730
```

Output
The crystal system is tetragonal. For the energy, the calculation gives -79.87 eV per cell. Its formation energy is -427.1 meV/atom.


Entry from Alexandria via LeMat-Bulk: an optimized crystal structure of Ac4ZnRh4 (PBE).

```
Ac4ZnRh4
1.0
5.864 0.000 0.000
0.000 8.923 0.000
0.000 0.000 8.923
Ac Rh Zn
8 8 2
direct
0.118 0.536 0.186
0.618 0.814 0.036
0.382 0.186 0.964
0.118 0.964 0.314
0.882 0.464 0.814
0.382 0.314 0.536
0.618 0.686 0.464
0.882 0.036 0.686
0.111 0.641 0.503
0.889 0.141 0.003
0.389 0.997 0.641
0.389 0.503 0.859
0.111 0.859 0.997
0.611 0.003 0.359
0.611 0.497 0.141
0.889 0.359 0.497
0.750 0.250 0.250
0.250 0.750 0.750
```

Output
The crystal system is tetragonal. For the energy, the calculation gives -104.30 eV per cell. Its formation energy is -559.8 meV/atom.


Entry from Alexandria via LeMat-Bulk: an optimized crystal structure of Ac2Zn5Rh4 (PBE).

```
Ac2Zn5Rh4
1.0
-0.911 -1.543 5.143
-4.507 -3.331 1.086
4.010 -7.183 1.438
Rh Zn Ac
4 5 2
direct
0.524 0.697 0.255
0.476 0.303 0.745
0.221 0.303 0.255
0.779 0.697 0.745
0.250 0.500 0.500
0.750 0.500 0.500
0.500 0.000 0.000
0.000 0.500 0.000
0.500 0.500 0.000
0.855 0.000 0.290
0.145 0.000 0.710
```

Output
The crystal system is orthorhombic. For the energy, the calculation gives -49.09 eV per cell. Its formation energy is -463.5 meV/atom.


Entry from Alexandria via LeMat-Bulk: an optimized crystal structure of Ac2Zn5Rh (PBE).

```
Ac2Zn5Rh
1.0
4.473 0.000 0.000
-2.237 8.398 0.000
0.000 0.000 9.324
Zn Ac Rh
10 4 2
direct
0.813 0.626 0.112
0.187 0.374 0.612
0.348 0.696 0.513
0.407 0.814 0.250
0.593 0.186 0.750
0.813 0.626 0.388
0.652 0.304 0.487
0.348 0.696 0.987
0.652 0.304 0.013
0.187 0.374 0.888
0.808 0.616 0.750
0.000 0.000 0.000
0.000 0.000 0.500
0.192 0.384 0.250
0.562 0.123 0.250
0.438 0.877 0.750
```

Output
The crystal system is orthorhombic. For the energy, the calculation gives -49.80 eV per cell. Its formation energy is -370.2 meV/atom.


Entry from Alexandria via LeMat-Bulk: an optimized crystal structure of Ac3ZnRh3 (PBE).

```
Ac3ZnRh3
1.0
4.236 0.000 0.000
-2.118 5.624 0.000
0.000 0.000 14.558
Zn Rh Ac
2 6 6
direct
0.500 0.000 0.500
0.500 0.000 0.000
0.080 0.160 0.086
0.080 0.160 0.414
0.920 0.840 0.586
0.754 0.508 0.750
0.246 0.492 0.250
0.920 0.840 0.914
0.798 0.597 0.105
0.202 0.403 0.605
0.473 0.945 0.750
0.202 0.403 0.895
0.798 0.597 0.395
0.527 0.055 0.250
```

Output
The crystal system is orthorhombic. For the energy, the calculation gives -80.14 eV per cell. Its formation energy is -631.1 meV/atom.


Entry from Alexandria via LeMat-Bulk: an optimized crystal structure of AcZr2Rh2 (PBE).

```
AcZr2Rh2
1.0
4.301 0.000 -1.607
-0.600 4.259 -1.607
-0.024 -0.027 6.496
Rh Ac Zr
2 1 2
direct
0.377 0.377 0.754
0.623 0.623 0.246
0.000 0.000 0.000
0.250 0.750 0.500
0.750 0.250 0.500
```

Output
The crystal system is tetragonal. For the energy, the calculation gives -39.06 eV per cell. Its formation energy is -630.1 meV/atom.


Entry from Alexandria via LeMat-Bulk: an optimized crystal structure of AcZrRh4 (PBE).

```
AcZrRh4
1.0
5.393 0.000 0.000
2.696 4.670 0.000
2.696 1.557 4.403
Rh Ac Zr
4 1 1
direct
0.127 0.624 0.624
0.624 0.127 0.624
0.624 0.624 0.624
0.624 0.624 0.127
0.000 0.000 0.000
0.250 0.250 0.250
```

Output
The crystal system is cubic. For the energy, the calculation gives -44.88 eV per cell. Its formation energy is -469.2 meV/atom.


Entry from Alexandria via LeMat-Bulk: an optimized crystal structure of Ac5Ru (PBE).

```
Ac5Ru
1.0
-5.357 3.463 1.046
-2.123 -3.447 0.542
3.019 1.968 8.945
Ac Ru
5 1
direct
0.500 0.835 0.670
0.000 0.391 0.782
0.500 0.165 0.330
0.000 0.609 0.218
0.500 0.500 0.000
0.000 0.000 0.000
```

Output
The crystal system is orthorhombic. For the energy, the calculation gives -28.98 eV per cell. Its formation energy is 139.7 meV/atom.


Entry from Alexandria via LeMat-Bulk: an optimized crystal structure of AcRu6 (PBE).

```
AcRu6
1.0
-5.525 1.592 -1.069
0.054 -5.259 2.558
2.507 3.918 3.545
Ru Ac
6 1
direct
0.250 0.750 0.500
0.500 0.750 0.250
0.750 0.250 0.500
0.500 0.250 0.750
0.750 0.500 0.250
0.250 0.500 0.750
0.000 0.000 0.000
```

Output
The crystal system is cubic. For the energy, the calculation gives -56.00 eV per cell. Its formation energy is 537.7 meV/atom.


Entry from Alexandria via LeMat-Bulk: an optimized crystal structure of Ac5Ru3 (PBE).

```
Ac5Ru3
1.0
-3.715 -4.458 -4.269
7.345 -4.189 -2.018
-4.742 -2.576 6.816
Ac Ru
10 6
direct
0.750 0.000 0.254
0.250 0.000 0.746
0.250 0.746 0.000
0.250 0.254 0.254
0.750 0.254 0.000
0.750 0.746 0.746
0.500 0.667 0.333
0.000 0.667 0.333
0.000 0.333 0.667
0.500 0.333 0.667
0.250 0.613 0.613
0.250 0.000 0.387
0.750 0.613 0.000
0.750 0.000 0.613
0.750 0.387 0.387
0.250 0.387 0.000
```

Output
The crystal system is hexagonal. For the energy, the calculation gives -98.24 eV per cell. Its formation energy is -93.6 meV/atom.


Entry from Alexandria via LeMat-Bulk: an optimized crystal structure of Ac6Ru (PBE).

```
Ac6Ru
1.0
7.088 0.000 0.000
0.000 12.358 0.000
0.000 0.000 13.455
Ru Ac
4 24
direct
0.589 0.750 0.885
0.411 0.250 0.115
0.089 0.250 0.615
0.911 0.750 0.385
0.084 0.586 0.254
0.916 0.086 0.746
0.091 0.250 0.250
0.084 0.914 0.254
0.409 0.250 0.750
0.909 0.750 0.750
0.416 0.586 0.754
0.916 0.414 0.746
0.745 0.250 0.494
0.255 0.750 0.506
0.591 0.750 0.250
0.255 0.076 0.498
0.245 0.424 0.998
0.745 0.924 0.502
0.755 0.924 0.002
0.755 0.250 0.994
0.755 0.576 0.002
0.745 0.576 0.502
0.416 0.914 0.754
0.584 0.414 0.246
0.245 0.750 0.006
0.584 0.086 0.246
0.255 0.424 0.498
0.245 0.076 0.998
```

Output
The crystal system is orthorhombic. For the energy, the calculation gives -137.68 eV per cell. Its formation energy is -70.5 meV/atom.


Entry from Alexandria via LeMat-Bulk: an optimized crystal structure of Ac5Ru2 (PBE).

```
Ac5Ru2
1.0
-0.531 0.678 6.912
-7.722 -0.185 -0.575
1.336 -9.089 -2.516
Ac Ru
10 4
direct
0.810 0.592 0.811
0.571 0.250 0.000
0.000 0.092 0.811
0.215 0.681 0.575
0.639 0.819 0.425
0.429 0.750 0.000
0.361 0.181 0.575
0.190 0.408 0.189
0.785 0.319 0.425
0.000 0.908 0.189
0.602 0.922 0.779
0.398 0.078 0.221
0.824 0.578 0.221
0.176 0.422 0.779
```

Output
The crystal system is monoclinic. For the energy, the calculation gives -80.70 eV per cell. Its formation energy is -179.4 meV/atom.


Entry from Alexandria via LeMat-Bulk: an optimized crystal structure of Ac4Ru (PBE).

```
Ac4Ru
1.0
-4.072 -4.193 -0.416
4.180 -4.093 0.333
-0.529 -0.065 5.835
Ac Ru
4 1
direct
0.000 0.500 0.500
0.500 0.500 0.000
0.500 0.000 0.500
0.000 0.000 0.000
0.500 0.500 0.500
```

Output
The crystal system is cubic. For the energy, the calculation gives -25.96 eV per cell. Its formation energy is -49.4 meV/atom.


Entry from Alexandria via LeMat-Bulk: an optimized crystal structure of Ac4Ru (PBE).

```
Ac4Ru
1.0
-6.010 -4.853 -2.307
1.024 1.339 7.884
-1.937 7.427 -3.176
Ac Ru
8 2
direct
0.190 0.939 0.668
0.271 0.522 0.332
0.280 0.521 0.841
0.772 0.021 0.832
0.771 0.030 0.341
0.679 0.439 0.159
0.189 0.940 0.168
0.689 0.429 0.659
0.232 0.232 0.000
0.482 0.982 0.500
```

Output
The crystal system is orthorhombic. For the energy, the calculation gives -52.64 eV per cell. Its formation energy is -121.9 meV/atom.


Entry from Alexandria via LeMat-Bulk: an optimized crystal structure of Ac4Ru (PBE).

```
Ac4Ru
1.0
-3.875 -5.162 -2.449
-3.528 -0.887 7.451
-6.862 4.266 1.866
Ru Ac
2 8
direct
0.000 0.500 0.000
0.500 0.000 0.000
0.271 0.168 0.663
0.250 0.166 0.168
0.729 0.832 0.337
0.771 0.332 0.337
0.250 0.666 0.168
0.750 0.334 0.832
0.229 0.668 0.663
0.750 0.834 0.832
```

Output
The crystal system is monoclinic. For the energy, the calculation gives -52.51 eV per cell. Its formation energy is -109.5 meV/atom.


Entry from Alexandria via LeMat-Bulk: an optimized crystal structure of Ac2RuS (PBE).

```
Ac2RuS
1.0
-0.552 -2.960 2.102
3.366 -1.215 -0.827
2.860 3.784 6.079
Ru S Ac
1 1 2
direct
0.500 0.500 0.000
0.500 0.500 0.500
0.000 0.000 0.758
0.000 0.000 0.242
```

Output
The crystal system is tetragonal. The value obtained for the formation energy without anion corrections is -0.824 eV/atom. For the energy, the calculation gives -24.92 eV per cell.